Entry 1:
This record from Alexandria via LeMat-Bulk describes an optimized crystal structure of Ag3IrRh. The functional is PBE.

abc: 4.9847 4.9847 4.9847
angles: 90.00 90.00 90.00
With the nearest neighbours (Å) after each atom.
Atoms (fractional coordinates):
Ag: 0.0000 0.0000 0.5000  2 Ir 2.49
Ag: 0.0000 0.5000 0.0000  2 Ir 2.49
Ag: 0.5000 0.0000 0.0000  2 Ir 2.49
Ir: 0.0000 0.0000 0.0000  6 Ag 2.49
Rh: 0.5000 0.5000 0.5000  12 Ag 3.52

E_form, eV/atom: 1.66
DOS(E_F), states/eV per atom: 2.3137
E_tot, eV/atom: -3.297
Total magnetization, μB/cell: 2.37
Excess energy over the best structure of this formula in the dataset, meV/atom: 0



Entry 2:
This record from Alexandria via LeMat-Bulk describes an optimized crystal structure of AgIr2Rh. The functional is PBE.

abc: 2.7632 3.8333 5.7358
angles: 90.00 90.00 90.00
With the nearest neighbours (Å) after each atom.
Atoms (fractional coordinates):
Ag: 0.0000 0.0000 0.0000  2 Ag 2.76, 4 Rh 2.80, 6 Ir 2.84-2.89
Ir: 0.0000 0.0000 0.4965  6 Ir 2.68-2.76, 4 Rh 2.74, 2 Ag 2.85-2.89
Ir: 0.5000 0.5000 0.2748  1 Rh 2.66, 6 Ir 2.68-2.76, 4 Ag 2.84
Rh: 0.5000 0.5000 0.7391  5 Ir 2.66-2.74, 2 Rh 2.76, 4 Ag 2.80

E_form, eV/atom: 0.25
DOS(E_F), states/eV per atom: 1.1298
E_tot, eV/atom: -6.732
Total magnetization, μB/cell: 0.00
Excess energy over the best structure of this formula in the dataset, meV/atom: 89



Entry 3:
This record from Alexandria via LeMat-Bulk describes an optimized crystal structure of AgIr2Rh. The functional is PBE.

abc: 4.8316 4.8316 4.8316
angles: 132.42 132.42 69.56
With the nearest neighbours (Å) after each atom.
Atoms (fractional coordinates):
Ag: 0.0000 0.0000 0.0000  4 Rh 2.76, 8 Ir 2.78
Ir: 0.2500 0.7500 0.5000  4 Ir 2.76, 4 Rh 2.78, 4 Ag 2.78
Ir: 0.7500 0.2500 0.5000  4 Ir 2.76, 4 Rh 2.78, 4 Ag 2.78
Rh: 0.5000 0.5000 0.0000  4 Ag 2.76, 8 Ir 2.78

E_form, eV/atom: 0.34
DOS(E_F), states/eV per atom: 1.0745
E_tot, eV/atom: -6.645
Total magnetization, μB/cell: 0.00
Excess energy over the best structure of this formula in the dataset, meV/atom: 176